Density functional theory data (GGA-PBE) for crystalline Na3Pu2MgTe6 at its relaxed geometry.

Output
**Uncorrected energy**: -5.36 eV per atom
**Space-group type**: C2/m, No. 12

```
Na3Pu2MgTe6
1.0
7.6532 -0.0030 0.0008
-3.8273 6.6274 0.0008
-1.2754 -2.2083 7.4914
Na Pu Mg Te
3 2 1 6
Direct
0.1684 0.8316 0.5000
0.8316 0.1684 0.5000
0.5000 0.5000 0.5000
0.3334 0.6666 0.0000
0.6666 0.3334 0.0000
0.0000 0.0000 0.0000
0.9239 0.5958 0.7716
0.7482 0.7482 0.2290
0.0761 0.4042 0.2284
0.5958 0.9239 0.7716
0.2518 0.2518 0.7710
0.4042 0.0761 0.2284
```